Below is NdBiO4 after structural relaxation, with properties calculated at the PBE level.

Cell: 5.387 5.645 5.590 Å, 90.00 95.60 90.00°
Positions (direct):
Bi: 0.504 0.297 0.002
Bi: 0.504 0.703 0.502
Nd: 0.005 0.768 0.002
Nd: 0.005 0.232 0.502
O: 0.745 0.449 0.766
O: 0.264 0.551 0.738
O: 0.254 0.064 0.835
O: 0.745 0.551 0.266
O: 0.254 0.936 0.335
O: 0.755 0.064 0.170
O: 0.264 0.449 0.238
O: 0.755 0.936 0.670

Total moment (μB/cell): 0.001
Final energy (eV per atom): -6.7257